# RbTlSe2, relaxed, DFT PBE
# **E**: -3.214 eV per atom
# **Magnetic moment**: 0.00 μB per formula unit
# **Symmetry**: C2/c, No. 15
# **Energy above the lowest structure with this stoichiometry**: 29 meV per atom
# **Uncorrected formation energy**: -638.4 meV per atom
data_RbTlSe2
_chemical_formula_sum 'Rb2 Tl2 Se4'
_cell_length_a 8.106
_cell_length_b 7.123
_cell_length_c 7.123
_cell_angle_alpha 84.71
_cell_angle_beta 117.31
_cell_angle_gamma 62.69
_symmetry_space_group_name_H-M 'P 1'
_symmetry_Int_Tables_number 1
loop_
_symmetry_equiv_pos_as_xyz
'x,y,z'
loop_
_atom_site_label
_atom_site_fract_x
_atom_site_fract_y
_atom_site_fract_z
Rb1 0.750 0.862 0.362
Tl1 0.250 0.735 0.235
Se1 0.342 0.594 0.662
Se2 0.842 0.838 0.906
Tl2 0.750 0.265 0.765
Rb2 0.250 0.138 0.638
Se3 0.658 0.406 0.338
Se4 0.158 0.162 0.094